[1]
Here is LaZr2Ta after structural relaxation from the Alexandria database. Energies are from PBE.

Lattice parameters (Å, degrees): 3.519 3.519 7.940 90.00 90.00 90.00
Space group P4/mmm (No. 123)
Inequivalent atoms, fractional coordinates:
La1 0.000 0.000 0.000 [1 per cell]
Zr1 0.500 0.500 0.299 [2 per cell]
Ta1 0.000 0.000 0.500 [1 per cell]

Computed properties:
The value obtained for the density of states at the Fermi level is 6.4 states/eV per cell. For the raw total energy, the calculation gives -8.298 eV per atom.



[2]
Here is La2ZrTa after structural relaxation from the Alexandria database. Energies are from PBE.

Lattice parameters (Å, degrees): 8.552 8.552 6.071 90.00 90.00 90.00
Space group I-42d (No. 122)
Inequivalent atoms, fractional coordinates:
La1 0.228 0.750 0.125 [8 per cell]
Zr1 0.000 0.000 0.500 [4 per cell]
Ta1 0.000 0.000 0.000 [4 per cell]

Computed properties:
The value obtained for the density of states at the Fermi level is 23.5 states/eV per cell. As for the energy relative to the lowest polymorph listed for this composition: 2.45 eV per formula unit.



[3]
Here is LaZr2Ta after structural relaxation from the Alexandria database. Energies are from PBE.

Lattice parameters (Å, degrees): 4.825 4.825 8.086 90.00 90.00 90.00
Space group I4/mmm (No. 139)
Inequivalent atoms, fractional coordinates:
La1 0.000 0.000 0.000 [2 per cell]
Zr1 0.000 0.500 0.250 [4 per cell]
Ta1 0.000 0.000 0.500 [2 per cell]

Computed properties:
The value obtained for the density of states at the Fermi level is 11.5 states/eV per cell. For the raw total energy, the calculation gives -8.144 eV per atom.



[4]
Here is LaZr2Ta after structural relaxation from the Alexandria database. Energies are from PBE.

Lattice parameters (Å, degrees): 4.393 4.393 21.020 90.00 90.00 90.00
Space group I-42d (No. 122)
Inequivalent atoms, fractional coordinates:
La1 0.000 0.000 0.000 [4 per cell]
Zr1 0.235 0.250 0.625 [8 per cell]
Ta1 0.000 0.000 0.500 [4 per cell]

Computed properties:
The value obtained for the density of states at the Fermi level is 21.5 states/eV per cell. For the raw total energy, the calculation gives -7.738 eV per atom.



[5]
Here is La2ZrTa after structural relaxation from the Alexandria database. Energies are from PBE.

Lattice parameters (Å, degrees): 3.281 4.624 7.084 90.00 90.00 90.00
Space group Pmm2 (No. 25)
Inequivalent atoms, fractional coordinates:
La1 0.000 0.000 0.000 [1 per cell]
La2 0.500 0.500 0.278 [1 per cell]
Zr1 0.500 0.500 0.715 [1 per cell]
Ta1 0.000 0.000 0.553 [1 per cell]

Computed properties:
The value obtained for the density of states at the Fermi level is 5.2 states/eV per cell. As for the energy relative to the lowest polymorph listed for this composition: 0.41 eV per formula unit.



[6]
Here is La2ZrTa after structural relaxation from the Alexandria database. Energies are from PBE.

Lattice parameters (Å, degrees): 3.238 3.238 10.434 90.00 90.00 90.00
Space group P4mm (No. 99)
Inequivalent atoms, fractional coordinates:
La1 0.000 0.000 0.000 [1 per cell]
La2 0.500 0.500 0.316 [1 per cell]
Zr1 0.500 0.500 0.736 [1 per cell]
Ta1 0.000 0.000 0.545 [1 per cell]

Computed properties:
The value obtained for the density of states at the Fermi level is 5.3 states/eV per cell. As for the energy relative to the lowest polymorph listed for this composition: 0.19 eV per formula unit.